No. 1
Here is a geometry-optimized PmHoFe4 structure from Alexandria via LeMat-Bulk. Energies are from PBE-GGA.

Summary:
Its magnetization is 7.6 μB per formula unit. As for the space group: F-43m (216). The density of states at the Fermi level is 8.06 states/eV/f.u. For the total energy, the calculation gives -7.22 eV/atom.

abc: 5.1826 5.1826 5.1826
angles: 60.00 60.00 60.00
Sites, in units of the cell vectors:
Fe 0.6253 0.6253 0.1242
Fe 0.6253 0.1242 0.6253
Fe 0.6253 0.6253 0.6253
Fe 0.1242 0.6253 0.6253
Ho 0.0000 0.0000 0.0000
Pm 0.2500 0.2500 0.2500

No. 2
Here is a geometry-optimized Tm2RuN structure from Alexandria via LeMat-Bulk. Energies are from PBE-GGA.

Summary:
Its magnetization is 0.1 μB per formula unit. As for the space group: R-3m (166). The formation energy from raw total energies is -0.87 eV/atom. The density of states at the Fermi level is 2.48 states/eV/f.u.

abc: 3.3571 3.3571 7.1961
angles: 76.51 76.51 60.00
Sites, in units of the cell vectors:
Ru 0.0000 0.0000 0.0000
Tm 0.7663 0.7663 0.7010
Tm 0.2337 0.2337 0.2990
N 0.5000 0.5000 0.5000

No. 3
Here is a geometry-optimized FeAu3 structure from Alexandria via LeMat-Bulk. Energies are from PBE-GGA.

Summary:
Its magnetization is 3.2 μB per formula unit. As for the space group: Immm (71). The density of states at the Fermi level is 3.34 states/eV/f.u. For the total energy, the calculation gives -4.41 eV/atom.

abc: 5.3117 5.3117 5.3117
angles: 143.71 129.32 63.91
Sites, in units of the cell vectors:
Au 0.9842 0.9842 0.0000
Au 0.2500 0.7500 0.5000
Au 0.5158 0.5158 0.0000
Fe 0.7500 0.2500 0.5000